1.
Computed, not measured: crystalline BaPr2O4 at its relaxed geometry at the GGA-PBEsol level of DFT.

Structure (POSCAR):
```
BaPr2O4
1.0
10.5695 0.0000 0.0000
0.0000 3.6312 0.0000
0.0000 0.0000 12.5028
Ba Pr O
4 8 16
Direct
0.2489 0.2500 0.1476
0.2511 0.7500 0.6476
0.7489 0.2500 0.3524
0.7511 0.7500 0.8524
0.0733 0.7500 0.3863
0.0844 0.7500 0.8898
0.4156 0.2500 0.3898
0.4267 0.2500 0.8863
0.5733 0.7500 0.1137
0.5844 0.7500 0.6102
0.9156 0.2500 0.1102
0.9267 0.2500 0.6137
0.0114 0.2500 0.2819
0.0683 0.7500 0.0781
0.1262 0.2500 0.5163
0.2142 0.2500 0.8254
0.2858 0.7500 0.3254
0.3738 0.7500 0.0163
0.4317 0.2500 0.5781
0.4886 0.7500 0.7819
0.5114 0.2500 0.2181
0.5683 0.7500 0.4219
0.6262 0.2500 0.9837
0.7142 0.2500 0.6746
0.7858 0.7500 0.1746
0.8738 0.7500 0.4837
0.9317 0.2500 0.9219
0.9886 0.7500 0.7181
```

Values from the calculation:
SG ... Pnma (62)
Formation energy from raw total energies ... -3106 meV per atom

***

2.
Computed, not measured: crystalline TlRhBr2 at its relaxed geometry at the GGA-PBEsol level of DFT.

Structure (POSCAR):
```
TlRhBr2
1.0
6.9916 0.0000 0.0000
0.0000 6.9916 0.0000
0.0000 0.0000 6.9916
Tl Rh Br
4 4 8
Direct
0.0000 0.0000 0.0000
0.0000 0.5000 0.5000
0.5000 0.0000 0.5000
0.5000 0.5000 0.0000
0.2500 0.2500 0.7500
0.2500 0.7500 0.2500
0.7500 0.2500 0.2500
0.7500 0.7500 0.7500
0.0000 0.0000 0.5000
0.0000 0.5000 0.0000
0.2500 0.2500 0.2500
0.2500 0.7500 0.7500
0.5000 0.0000 0.0000
0.5000 0.5000 0.5000
0.7500 0.2500 0.7500
0.7500 0.7500 0.2500
```

Values from the calculation:
SG ... F-43m (216)
Relative energy among the computed polymorphs ... 728 meV per atom
Formation energy from raw total energies ... 509 meV per atom

***

3.
Computed, not measured: crystalline Na3ZrAu at its relaxed geometry at the GGA-PBEsol level of DFT.

Structure (POSCAR):
```
Na3ZrAu
1.0
5.3584 0.0000 0.0000
0.0000 5.3584 0.0000
0.0000 0.0000 5.3584
Na Zr Au
3 1 1
Direct
0.0000 0.0000 0.5000
0.0000 0.5000 0.0000
0.5000 0.0000 0.0000
0.5000 0.5000 0.5000
0.0000 0.0000 0.0000
```

Values from the calculation:
SG ... Pm-3m (221)
Energy of formation ... 0.824 eV/atom

***

4.
Computed, not measured: crystalline SrTi3Re at its relaxed geometry at the GGA-PBEsol level of DFT.

Structure (POSCAR):
```
SrTi3Re
1.0
4.5170 0.0000 0.0000
0.0000 4.5170 0.0000
0.0000 0.0000 4.5170
Sr Ti Re
1 3 1
Direct
0.0000 0.0000 0.0000
0.0000 0.0000 0.5000
0.0000 0.5000 0.0000
0.5000 0.0000 0.0000
0.5000 0.5000 0.5000
```

Values from the calculation:
SG ... Pm-3m (221)
Energy of formation ... 2.219 eV/atom

***

Computed values of spin magnetization (unit: μB per cell) for the preceding records, in sequence: 0.00 0.21 3.07 0.12.
Computed values of density of states at the Fermi level (unit: states/eV per atom) for the preceding records, in sequence: 0.00 2.08 1.50 1.41.